No. 1
Below is a relaxed LiHgTe2 crystal, with properties calculated at the GGA-PBE level.

Structure (CIF):
```
data_LiHgTe2
_symmetry_space_group_name_H-M 'P 1'
_symmetry_Int_Tables_number 1
_symmetry_space_group_name_Hall 'P 1'
_cell_length_a 5.819
_cell_length_b 5.819
_cell_length_c 15.051
_cell_angle_alpha 90.00
_cell_angle_beta 90.00
_cell_angle_gamma 90.00
loop_
_atom_site_label
_atom_site_type_symbol
_atom_site_fract_x
_atom_site_fract_y
_atom_site_fract_z
Li1 Li 0.000 0.000 0.000
Li2 Li 0.000 0.500 0.250
Li3 Li 0.500 0.000 0.750
Li4 Li 0.500 0.500 0.500
Hg1 Hg 0.000 0.000 0.500
Hg2 Hg 0.000 0.500 0.750
Hg3 Hg 0.500 0.000 0.250
Hg4 Hg 0.500 0.500 0.000
Te1 Te 0.223 0.250 0.125
Te2 Te 0.250 0.723 0.375
Te3 Te 0.250 0.777 0.875
Te4 Te 0.277 0.250 0.625
Te5 Te 0.723 0.750 0.625
Te6 Te 0.750 0.223 0.875
Te7 Te 0.750 0.277 0.375
Te8 Te 0.777 0.750 0.125
```

## Properties
E_form (uncorrected), kJ/mol of formula units: -115
Mass density, g cm⁻³: 6.031


No. 2
Below is a relaxed LiHg2Te crystal, with properties calculated at the GGA-PBE level.

Structure (CIF):
```
data_LiHg2Te
_symmetry_space_group_name_H-M 'P 1'
_symmetry_Int_Tables_number 1
_symmetry_space_group_name_Hall 'P 1'
_cell_length_a 3.209
_cell_length_b 4.670
_cell_length_c 14.430
_cell_angle_alpha 90.00
_cell_angle_beta 90.00
_cell_angle_gamma 90.00
loop_
_atom_site_label
_atom_site_type_symbol
_atom_site_fract_x
_atom_site_fract_y
_atom_site_fract_z
Li1 Li 0.000 0.000 0.000
Li2 Li 0.500 0.500 0.500
Hg1 Hg 0.000 0.500 0.308
Hg2 Hg 0.000 0.500 0.692
Hg3 Hg 0.500 0.000 0.192
Hg4 Hg 0.500 0.000 0.808
Te1 Te 0.000 0.000 0.500
Te2 Te 0.500 0.500 0.000
```

## Properties
E_form (uncorrected), kJ/mol of formula units: -111
Mass density, g cm⁻³: 8.228


No. 3
Below is a relaxed Li2HgTe crystal, with properties calculated at the GGA-PBE level.

Structure (CIF):
```
data_Li2HgTe
_symmetry_space_group_name_H-M 'P 1'
_symmetry_Int_Tables_number 1
_symmetry_space_group_name_Hall 'P 1'
_cell_length_a 5.715
_cell_length_b 5.715
_cell_length_c 15.626
_cell_angle_alpha 90.00
_cell_angle_beta 90.00
_cell_angle_gamma 90.00
loop_
_atom_site_label
_atom_site_type_symbol
_atom_site_fract_x
_atom_site_fract_y
_atom_site_fract_z
Li1 Li 0.177 0.250 0.125
Li2 Li 0.250 0.677 0.375
Li3 Li 0.250 0.823 0.875
Li4 Li 0.323 0.250 0.625
Li5 Li 0.677 0.750 0.625
Li6 Li 0.750 0.177 0.875
Li7 Li 0.750 0.323 0.375
Li8 Li 0.823 0.750 0.125
Hg1 Hg 0.000 0.000 0.500
Hg2 Hg 0.000 0.500 0.750
Hg3 Hg 0.500 0.000 0.250
Hg4 Hg 0.500 0.500 0.000
Te1 Te 0.000 0.000 0.000
Te2 Te 0.000 0.500 0.250
Te3 Te 0.500 0.000 0.750
Te4 Te 0.500 0.500 0.500
```

## Properties
Energy above the most stable polymorph in this dataset, kcal/mol of atoms: 3.07
E_form (uncorrected), kJ/mol of formula units: -199
Mass density, g cm⁻³: 4.451


No. 4
Below is a relaxed LiHg2Te crystal, with properties calculated at the GGA-PBE level.

Structure (CIF):
```
data_LiHg2Te
_symmetry_space_group_name_H-M 'P 1'
_symmetry_Int_Tables_number 1
_symmetry_space_group_name_Hall 'P 1'
_cell_length_a 3.481
_cell_length_b 3.481
_cell_length_c 28.343
_cell_angle_alpha 90.00
_cell_angle_beta 90.00
_cell_angle_gamma 120.00
loop_
_atom_site_label
_atom_site_type_symbol
_atom_site_fract_x
_atom_site_fract_y
_atom_site_fract_z
Li1 Li 0.000 0.000 0.000
Li2 Li 0.333 0.667 0.667
Li3 Li 0.667 0.333 0.333
Hg1 Hg 0.000 0.000 0.263
Hg2 Hg 0.000 0.000 0.737
Hg3 Hg 0.333 0.667 0.404
Hg4 Hg 0.333 0.667 0.929
Hg5 Hg 0.667 0.333 0.071
Hg6 Hg 0.667 0.333 0.596
Te1 Te 0.000 0.000 0.500
Te2 Te 0.333 0.667 0.167
Te3 Te 0.667 0.333 0.833
```

## Properties
E_form (uncorrected), kJ/mol of formula units: -64
Mass density, g cm⁻³: 8.971


No. 5
Below is a relaxed LiHg2Te crystal, with properties calculated at the GGA-PBE level.

Structure (CIF):
```
data_LiHg2Te
_symmetry_space_group_name_H-M 'P 1'
_symmetry_Int_Tables_number 1
_symmetry_space_group_name_Hall 'P 1'
_cell_length_a 9.717
_cell_length_b 9.717
_cell_length_c 5.250
_cell_angle_alpha 90.00
_cell_angle_beta 90.00
_cell_angle_gamma 90.00
loop_
_atom_site_label
_atom_site_type_symbol
_atom_site_fract_x
_atom_site_fract_y
_atom_site_fract_z
Li1 Li 0.000 0.000 0.000
Li2 Li 0.000 0.500 0.250
Li3 Li 0.500 0.000 0.750
Li4 Li 0.500 0.500 0.500
Hg1 Hg 0.190 0.750 0.625
Hg2 Hg 0.250 0.190 0.375
Hg3 Hg 0.250 0.310 0.875
Hg4 Hg 0.310 0.750 0.125
Hg5 Hg 0.690 0.250 0.125
Hg6 Hg 0.750 0.690 0.875
Hg7 Hg 0.750 0.810 0.375
Hg8 Hg 0.810 0.250 0.625
Te1 Te 0.000 0.000 0.500
Te2 Te 0.000 0.500 0.750
Te3 Te 0.500 0.000 0.250
Te4 Te 0.500 0.500 0.000
```

## Properties
E_form (uncorrected), kJ/mol of formula units: -95
Mass density, g cm⁻³: 7.180


No. 6
Below is a relaxed LiHg4Te crystal, with properties calculated at the GGA-PBE level.

Structure (CIF):
```
data_LiHg4Te
_symmetry_space_group_name_H-M 'P 1'
_symmetry_Int_Tables_number 1
_symmetry_space_group_name_Hall 'P 1'
_cell_length_a 6.173
_cell_length_b 6.173
_cell_length_c 6.173
_cell_angle_alpha 60.00
_cell_angle_beta 60.00
_cell_angle_gamma 60.00
loop_
_atom_site_label
_atom_site_type_symbol
_atom_site_fract_x
_atom_site_fract_y
_atom_site_fract_z
Li1 Li 0.000 0.000 0.000
Hg1 Hg 0.375 0.375 0.375
Hg2 Hg 0.375 0.375 0.874
Hg3 Hg 0.375 0.874 0.375
Hg4 Hg 0.874 0.375 0.375
Te1 Te 0.750 0.750 0.750
```

## Properties
E_form (uncorrected), kJ/mol of formula units: 15
Mass density, g cm⁻³: 9.353


No. 7
Below is a relaxed LiHgTe2 crystal, with properties calculated at the GGA-PBE level.

Structure (CIF):
```
data_LiHgTe2
_symmetry_space_group_name_H-M 'P 1'
_symmetry_Int_Tables_number 1
_symmetry_space_group_name_Hall 'P 1'
_cell_length_a 7.528
_cell_length_b 7.528
_cell_length_c 7.528
_cell_angle_alpha 90.00
_cell_angle_beta 90.00
_cell_angle_gamma 90.00
loop_
_atom_site_label
_atom_site_type_symbol
_atom_site_fract_x
_atom_site_fract_y
_atom_site_fract_z
Li1 Li 0.000 0.000 0.000
Li2 Li 0.000 0.500 0.500
Li3 Li 0.500 0.000 0.500
Li4 Li 0.500 0.500 0.000
Hg1 Hg 0.250 0.250 0.750
Hg2 Hg 0.250 0.750 0.250
Hg3 Hg 0.750 0.250 0.250
Hg4 Hg 0.750 0.750 0.750
Te1 Te 0.000 0.000 0.500
Te2 Te 0.000 0.500 0.000
Te3 Te 0.250 0.250 0.250
Te4 Te 0.250 0.750 0.750
Te5 Te 0.500 0.000 0.000
Te6 Te 0.500 0.500 0.500
Te7 Te 0.750 0.250 0.750
Te8 Te 0.750 0.750 0.250
```

## Properties
E_form (uncorrected), kJ/mol of formula units: -26
Mass density, g cm⁻³: 7.203


No. 8
Below is a relaxed Li2HgTe2 crystal, with properties calculated at the GGA-PBE level.

Structure (CIF):
```
data_Li2HgTe2
_symmetry_space_group_name_H-M 'P 1'
_symmetry_Int_Tables_number 1
_symmetry_space_group_name_Hall 'P 1'
_cell_length_a 8.898
_cell_length_b 8.898
_cell_length_c 3.160
_cell_angle_alpha 90.00
_cell_angle_beta 90.00
_cell_angle_gamma 90.00
loop_
_atom_site_label
_atom_site_type_symbol
_atom_site_fract_x
_atom_site_fract_y
_atom_site_fract_z
Li1 Li 0.134 0.366 0.000
Li2 Li 0.366 0.866 0.000
Li3 Li 0.634 0.134 0.000
Li4 Li 0.866 0.634 0.000
Hg1 Hg 0.000 0.000 0.500
Hg2 Hg 0.500 0.500 0.500
Te1 Te 0.163 0.663 0.500
Te2 Te 0.337 0.163 0.500
Te3 Te 0.663 0.837 0.500
Te4 Te 0.837 0.337 0.500
```

## Properties
Energy above the most stable polymorph in this dataset, kcal/mol of atoms: 2.31
E_form (uncorrected), kJ/mol of formula units: -253
Mass density, g cm⁻³: 6.235


No. 9
Below is a relaxed Li2HgTe crystal, with properties calculated at the GGA-PBE level.

Structure (CIF):
```
data_Li2HgTe
_symmetry_space_group_name_H-M 'P 1'
_symmetry_Int_Tables_number 1
_symmetry_space_group_name_Hall 'P 1'
_cell_length_a 4.125
_cell_length_b 4.230
_cell_length_c 10.333
_cell_angle_alpha 90.00
_cell_angle_beta 90.00
_cell_angle_gamma 90.00
loop_
_atom_site_label
_atom_site_type_symbol
_atom_site_fract_x
_atom_site_fract_y
_atom_site_fract_z
Li1 Li 0.000 0.000 0.000
Li2 Li 0.000 0.500 0.234
Li3 Li 0.500 0.000 0.734
Li4 Li 0.500 0.500 0.500
Hg1 Hg 0.000 0.500 0.770
Hg2 Hg 0.500 0.000 0.270
Te1 Te 0.000 0.000 0.524
Te2 Te 0.500 0.500 0.024
```

## Properties
Energy above the most stable polymorph in this dataset, kcal/mol of atoms: 3.00
E_form (uncorrected), kJ/mol of formula units: -200
Mass density, g cm⁻³: 6.301


No. 10
Below is a relaxed LiHg2Te crystal, with properties calculated at the GGA-PBE level.

Structure (CIF):
```
data_LiHg2Te
_symmetry_space_group_name_H-M 'P 1'
_symmetry_Int_Tables_number 1
_symmetry_space_group_name_Hall 'P 1'
_cell_length_a 5.494
_cell_length_b 12.208
_cell_length_c 3.288
_cell_angle_alpha 90.00
_cell_angle_beta 90.00
_cell_angle_gamma 90.00
loop_
_atom_site_label
_atom_site_type_symbol
_atom_site_fract_x
_atom_site_fract_y
_atom_site_fract_z
Li1 Li 0.000 0.000 0.000
Li2 Li 0.500 0.500 0.000
Hg1 Hg 0.250 0.250 0.500
Hg2 Hg 0.250 0.750 0.500
Hg3 Hg 0.750 0.250 0.500
Hg4 Hg 0.750 0.750 0.500
Te1 Te 0.000 0.500 0.000
Te2 Te 0.500 0.000 0.000
```

## Properties
E_form (uncorrected), kJ/mol of formula units: -79
Mass density, g cm⁻³: 8.070


No. 11
Below is a relaxed LiHgTe2 crystal, with properties calculated at the GGA-PBE level.

Structure (CIF):
```
data_LiHgTe2
_symmetry_space_group_name_H-M 'P 1'
_symmetry_Int_Tables_number 1
_symmetry_space_group_name_Hall 'P 1'
_cell_length_a 3.837
_cell_length_b 3.837
_cell_length_c 7.965
_cell_angle_alpha 90.00
_cell_angle_beta 90.00
_cell_angle_gamma 90.00
loop_
_atom_site_label
_atom_site_type_symbol
_atom_site_fract_x
_atom_site_fract_y
_atom_site_fract_z
Li1 Li 0.000 0.000 0.000
Hg1 Hg 0.000 0.000 0.500
Te1 Te 0.500 0.500 0.172
Te2 Te 0.500 0.500 0.828
```

## Properties
E_form (uncorrected), kJ/mol of formula units: -104
Mass density, g cm⁻³: 6.554


No. 12
Below is a relaxed Li2HgTe2 crystal, with properties calculated at the GGA-PBE level.

Structure (CIF):
```
data_Li2HgTe2
_symmetry_space_group_name_H-M 'P 1'
_symmetry_Int_Tables_number 1
_symmetry_space_group_name_Hall 'P 1'
_cell_length_a 4.860
_cell_length_b 4.860
_cell_length_c 13.561
_cell_angle_alpha 90.00
_cell_angle_beta 90.00
_cell_angle_gamma 90.00
loop_
_atom_site_label
_atom_site_type_symbol
_atom_site_fract_x
_atom_site_fract_y
_atom_site_fract_z
Li1 Li 0.000 0.000 0.149
Li2 Li 0.000 0.000 0.851
Li3 Li 0.500 0.500 0.351
Li4 Li 0.500 0.500 0.649
Hg1 Hg 0.000 0.000 0.500
Hg2 Hg 0.500 0.500 0.000
Te1 Te 0.000 0.500 0.250
Te2 Te 0.000 0.500 0.750
Te3 Te 0.500 0.000 0.250
Te4 Te 0.500 0.000 0.750
```

## Properties
Energy above the most stable polymorph in this dataset, kcal/mol of atoms: 6.19
E_form (uncorrected), kJ/mol of formula units: -171
Mass density, g cm⁻³: 4.871


No. 13
Below is a relaxed LiHgTe2 crystal, with properties calculated at the GGA-PBE level.

Structure (CIF):
```
data_LiHgTe2
_symmetry_space_group_name_H-M 'P 1'
_symmetry_Int_Tables_number 1
_symmetry_space_group_name_Hall 'P 1'
_cell_length_a 3.952
_cell_length_b 3.952
_cell_length_c 7.280
_cell_angle_alpha 90.00
_cell_angle_beta 90.00
_cell_angle_gamma 90.00
loop_
_atom_site_label
_atom_site_type_symbol
_atom_site_fract_x
_atom_site_fract_y
_atom_site_fract_z
Li1 Li 0.000 0.000 0.000
Hg1 Hg 0.500 0.500 0.737
Te1 Te 0.000 0.000 0.584
Te2 Te 0.500 0.500 0.125
```

## Properties
E_form (uncorrected), kJ/mol of formula units: -97
Mass density, g cm⁻³: 6.759


No. 14
Below is a relaxed LiHgTe2 crystal, with properties calculated at the GGA-PBE level.

Structure (CIF):
```
data_LiHgTe2
_symmetry_space_group_name_H-M 'P 1'
_symmetry_Int_Tables_number 1
_symmetry_space_group_name_Hall 'P 1'
_cell_length_a 4.357
_cell_length_b 4.357
_cell_length_c 24.477
_cell_angle_alpha 90.00
_cell_angle_beta 90.00
_cell_angle_gamma 120.00
loop_
_atom_site_label
_atom_site_type_symbol
_atom_site_fract_x
_atom_site_fract_y
_atom_site_fract_z
Li1 Li 0.000 0.000 0.000
Li2 Li 0.333 0.667 0.667
Li3 Li 0.667 0.333 0.333
Hg1 Hg 0.000 0.000 0.500
Hg2 Hg 0.333 0.667 0.167
Hg3 Hg 0.667 0.333 0.833
Te1 Te 0.000 0.000 0.390
Te2 Te 0.000 0.000 0.610
Te3 Te 0.333 0.667 0.057
Te4 Te 0.333 0.667 0.276
Te5 Te 0.667 0.333 0.724
Te6 Te 0.667 0.333 0.943
```

## Properties
E_form (uncorrected), kJ/mol of formula units: -95
Mass density, g cm⁻³: 5.729